#A
DFT (PBE) results for a relaxed ZnSN2F crystal.

- total moment (μB/cell) = 3.7
- space group = P4/mmm
- ρ (g/cm3) = 2.931

Cell lengths 3.6332, 3.6332, 6.2015 Å; angles 90.00, 90.00, 90.00 degrees
Positions (direct):
Zn: 0.5000 0.5000 0.5000
N: 0.0000 0.5000 0.0000
N: 0.5000 0.0000 0.0000
S: 0.0000 0.0000 0.5000
F: 0.0000 0.0000 0.0000


#B
DFT (PBE) results for a relaxed ZnSN2F crystal.

- total moment (μB/cell) = 0.0
- space group = P4/mmm
- ρ (g/cm3) = 4.033

Cell lengths 3.9710, 3.9710, 3.7724 Å; angles 90.00, 90.00, 90.00 degrees
Positions (direct):
Zn: 0.0000 0.0000 0.0000
N: 0.0000 0.5000 0.0000
N: 0.5000 0.0000 0.0000
S: 0.5000 0.5000 0.5000
F: 0.0000 0.0000 0.5000


Of them, #A has the lowest stability.


#A
DFT (PBE) results for a relaxed ZnSN2F crystal.

- total moment (μB/cell) = 6.1
- space group = P4/mmm
- ρ (g/cm3) = 2.939

Cell lengths 3.9278, 3.9278, 5.2921 Å; angles 90.00, 90.00, 90.00 degrees
Positions (direct):
Zn: 0.0000 0.0000 0.0000
N: 0.0000 0.5000 0.0000
N: 0.5000 0.0000 0.0000
S: 0.0000 0.0000 0.5000
F: 0.5000 0.5000 0.5000


#B
DFT (PBE) results for a relaxed ZnSN2F crystal.

- total moment (μB/cell) = 0.0
- space group = P4/mmm
- ρ (g/cm3) = 3.615

Cell lengths 3.3463, 3.3463, 5.9272 Å; angles 90.00, 90.00, 90.00 degrees
Positions (direct):
Zn: 0.5000 0.5000 0.5000
N: 0.0000 0.5000 0.0000
N: 0.5000 0.0000 0.0000
S: 0.0000 0.0000 0.0000
F: 0.0000 0.0000 0.5000


Of them, #A has the lowest stability.


#A
DFT (PBE) results for a relaxed ZrS2NF crystal.

- total moment (μB/cell) = 0.2
- space group = P4/mmm
- ρ (g/cm3) = 4.385

Cell lengths 4.3144, 4.3144, 3.8319 Å; angles 90.00, 90.00, 90.00 degrees
Positions (direct):
S: 0.0000 0.5000 0.0000
S: 0.5000 0.0000 0.0000
N: 0.0000 0.0000 0.5000
Zr: 0.5000 0.5000 0.5000
F: 0.0000 0.0000 0.0000


#B
DFT (PBE) results for a relaxed ZrS2NF crystal.

- total moment (μB/cell) = 3.9
- space group = P4/mmm
- ρ (g/cm3) = 2.870

Cell lengths 5.0735, 5.0735, 4.2345 Å; angles 90.00, 90.00, 90.00 degrees
Positions (direct):
S: 0.0000 0.5000 0.0000
S: 0.5000 0.0000 0.0000
N: 0.0000 0.0000 0.5000
Zr: 0.0000 0.0000 0.0000
F: 0.5000 0.5000 0.5000


Of them, #A has the lowest stability.


#A
DFT (PBE) results for a relaxed ZrSNF2 crystal.

- total moment (μB/cell) = 0.2
- space group = P4/mmm
- ρ (g/cm3) = 3.884

Cell lengths 4.0999, 4.0999, 4.4580 Å; angles 90.00, 90.00, 90.00 degrees
Positions (direct):
S: 0.5000 0.5000 0.5000
N: 0.0000 0.0000 0.5000
Zr: 0.0000 0.0000 0.0000
F: 0.0000 0.5000 0.0000
F: 0.5000 0.0000 0.0000


#B
DFT (PBE) results for a relaxed ZrSNF2 crystal.

- total moment (μB/cell) = 1.2
- space group = P4/mmm
- ρ (g/cm3) = 3.984

Cell lengths 4.7237, 4.7237, 3.2745 Å; angles 90.00, 90.00, 90.00 degrees
Positions (direct):
S: 0.0000 0.0000 0.0000
N: 0.0000 0.0000 0.5000
Zr: 0.5000 0.5000 0.5000
F: 0.0000 0.5000 0.0000
F: 0.5000 0.0000 0.0000


Of them, #B has the lowest stability.


#A
DFT (PBE) results for a relaxed ZrSN2F crystal.

- total moment (μB/cell) = 0.0
- space group = P4/mmm
- ρ (g/cm3) = 3.713

Cell lengths 4.3274, 4.3274, 4.0668 Å; angles 90.00, 90.00, 90.00 degrees
Positions (direct):
S: 0.5000 0.5000 0.5000
N: 0.0000 0.5000 0.0000
N: 0.5000 0.0000 0.0000
Zr: 0.0000 0.0000 0.0000
F: 0.0000 0.0000 0.5000


#B
DFT (PBE) results for a relaxed ZrSN2F crystal.

- total moment (μB/cell) = 4.6
- space group = P4/mmm
- ρ (g/cm3) = 2.966

Cell lengths 4.2623, 4.2623, 5.2479 Å; angles 90.00, 90.00, 90.00 degrees
Positions (direct):
S: 0.0000 0.0000 0.5000
N: 0.0000 0.5000 0.0000
N: 0.5000 0.0000 0.0000
Zr: 0.0000 0.0000 0.0000
F: 0.5000 0.5000 0.5000


Of them, #B has the lowest stability.


#A
DFT (PBE) results for a relaxed ZrSN2F crystal.

- total moment (μB/cell) = 0.0
- space group = P4/mmm
- ρ (g/cm3) = 5.021

Cell lengths 3.8251, 3.8251, 3.8492 Å; angles 90.00, 90.00, 90.00 degrees
Positions (direct):
S: 0.0000 0.0000 0.0000
N: 0.0000 0.5000 0.0000
N: 0.5000 0.0000 0.0000
Zr: 0.5000 0.5000 0.5000
F: 0.0000 0.0000 0.5000


#B
DFT (PBE) results for a relaxed ZrSN2F crystal.

- total moment (μB/cell) = 0.3
- space group = P4/mmm
- ρ (g/cm3) = 4.731

Cell lengths 3.9869, 3.9869, 3.7602 Å; angles 90.00, 90.00, 90.00 degrees
Positions (direct):
S: 0.0000 0.0000 0.5000
N: 0.0000 0.5000 0.0000
N: 0.5000 0.0000 0.0000
Zr: 0.5000 0.5000 0.5000
F: 0.0000 0.0000 0.0000


Of them, #B has the lowest stability.


#A
DFT (PBE) results for a relaxed SbNF2 crystal.

- total moment (μB/cell) = 2.9
- space group = R-3m
- ρ (g/cm3) = 3.574

Cell lengths 8.7104, 8.7104, 8.7104 Å; angles 21.92, 21.92, 21.92 degrees
Positions (direct):
Sb: 0.0000 0.0000 0.0000
N: 0.5000 0.5000 0.5000
F: 0.9221 0.9221 0.9221
F: 0.0779 0.0779 0.0779


#B
DFT (PBE) results for a relaxed SbNF2 crystal.

- total moment (μB/cell) = 0.0
- space group = P1
- ρ (g/cm3) = 4.157

Cell lengths 3.3123, 4.9394, 13.3078 Å; angles 136.85, 76.45, 89.00 degrees
Positions (direct):
Sb: 0.2785 0.1361 0.8014
Sb: 0.7763 0.0511 0.3025
N: 0.7747 0.3411 0.7998
N: 0.2802 0.8458 0.3040
F: 0.6136 0.6461 0.4619
F: 0.9338 0.9968 0.1380
F: 0.4424 0.5406 0.6410
F: 0.1220 0.1865 0.9648


Of them, #A has the lowest stability.


#A
DFT (PBE) results for a relaxed SbNF2 crystal.

- total moment (μB/cell) = 1.8
- space group = I-42d
- ρ (g/cm3) = 6.092

Cell lengths 3.4731, 3.4731, 8.2287 Å; angles 77.82, 77.82, 90.00 degrees
Positions (direct):
Sb: 0.0000 0.0000 0.0000
Sb: 0.7500 0.2500 0.5000
N: 0.5000 0.5000 0.0000
N: 0.2500 0.7500 0.5000
F: 0.6486 0.1250 0.2500
F: 0.1014 0.6250 0.2500
F: 0.3750 0.3514 0.7500
F: 0.8750 0.8986 0.7500


#B
DFT (PBE) results for a relaxed SbNF2 crystal.

- total moment (μB/cell) = 1.9
- space group = R-3m
- ρ (g/cm3) = 4.393

Cell lengths 7.6641, 7.6641, 7.6641 Å; angles 24.05, 24.05, 24.05 degrees
Positions (direct):
Sb: 0.5000 0.5000 0.5000
N: 0.0000 0.0000 0.0000
F: 0.9178 0.9178 0.9178
F: 0.0822 0.0822 0.0822


Of them, #B has the lowest stability.